#1
This record from the Alexandria database describes a geometry-optimized MnRe2Cl structure. The functional is GGA-PBEsol.

## Properties
- calculated density (g/cm3) = 13.46
- DOS at the Fermi energy (states/eV per atom) = 0.922
- V (Å³/cell) = 57

Cell lengths 4.5218, 2.7868, 4.8004 Å; angles 90.00, 109.26, 90.00 degrees
Atoms (fractional coordinates):
1 Mn 0.0000 0.0000 0.0000
2 Re 0.5000 0.0000 0.5000
3 Re 0.5000 0.5000 0.0000
4 Cl 0.0000 0.5000 0.5000

#2
This record from the Alexandria database describes a geometry-optimized MnRe2Cl structure. The functional is GGA-PBEsol.

## Properties
- calculated density (g/cm3) = 13.40
- DOS at the Fermi energy (states/eV per atom) = 1.026
- V (Å³/cell) = 57

Cell lengths 2.7552, 4.4985, 4.6281 Å; angles 90.00, 90.00, 90.00 degrees
Atoms (fractional coordinates):
1 Mn 0.0000 0.0000 0.0000
2 Re 0.0000 0.5000 0.5000
3 Re 0.5000 0.5000 0.0000
4 Cl 0.5000 0.0000 0.5000

Energy above the most stable structure, in eV/atom: #1 0.011; #2 0.000